# 1
VASP calculation (GGA-PBE) on crystalline Y2Ir2O at its relaxed geometry.

Summary:
Formation energy (no corrections): -189 kJ/mol of formula units
Crystal system: tetragonal

Lattice parameters (Å, degrees): 5.4610 5.4610 5.1664 58.09 58.09 90.00
Positions (direct):
Y: 0.7500 0.2500 0.5000
Y: 0.2500 0.7500 0.5000
Ir: 0.3131 0.3131 0.3738
Ir: 0.6869 0.6869 0.6262
O: 0.0000 0.0000 0.0000

---

# 2
VASP calculation (GGA-PBE) on crystalline YIrO3 at its relaxed geometry.

Summary:
Formation energy (no corrections): -667 kJ/mol of formula units
Crystal system: cubic

Lattice parameters (Å, degrees): 3.9490 3.9490 3.9490 90.00 90.00 90.00
Positions (direct):
Y: 0.5000 0.5000 0.5000
Ir: 0.0000 0.0000 0.0000
O: 0.0000 0.5000 0.0000
O: 0.0000 0.0000 0.5000
O: 0.5000 0.0000 0.0000